Entry from the Alexandria database: a relaxed CrInSi2 crystal (GGA-PBE).

Values from the calculation:
SG: No. 166
Energy relative to the elements, uncorrected: 283 meV per atom
Excess energy over the best structure of this formula in the dataset: 150 meV per atom

Lattice parameters (Å, degrees): 8.2912 8.2912 8.2912 21.38 21.38 21.38
With the nearest neighbours (Å) after each atom.
Fractional positions:
Cr (0.0000, 0.0000, 0.0000)  6 Si 2.41
In (0.5000, 0.5000, 0.5000)  6 Si 3.01, 6 In 3.08
Si (0.2665, 0.2665, 0.2665)  3 Cr 2.41
Si (0.7335, 0.7335, 0.7335)  3 Cr 2.41